A plane-wave DFT calculation with PBE was carried out for a geometry-optimized Nd9Al2In structure.

Results
Magnetic moment (μB per atom): 0.00
Symmetry: P4/mmm
Fermi-level density of states (states/eV/atom): 1.66
Final energy (eV for the cell shown): -55.56
Energy of formation (eV per atom): -0.2019

Cell and atoms, written as extended XYZ:
```
12
Lattice="4.9280 0.0000 0.0000 0.0000 4.9280 0.0000 0.0000 0.0000 14.7846" Properties=species:S:1:pos:R:3 pbc="T T T"
Nd 0.0000 0.0000 0.0000
Nd 0.0000 0.0000 4.9688
Nd 0.0000 0.0000 9.8157
Nd 0.0000 2.4640 2.5380
Nd 0.0000 2.4640 7.3923
Nd 0.0000 2.4640 12.2466
Nd 2.4640 0.0000 2.5380
Nd 2.4640 0.0000 7.3923
Nd 2.4640 0.0000 12.2466
Al 2.4640 2.4640 4.9451
Al 2.4640 2.4640 9.8395
In 2.4640 2.4640 0.0000
```



A plane-wave DFT calculation with PBE was carried out for a geometry-optimized Nd5Al2In2 structure.

Results
Magnetic moment (μB per atom): 0.00
Symmetry: Cmce
Fermi-level density of states (states/eV/atom): 1.07
Final energy (eV for the cell shown): -79.45
Energy of formation (eV per atom): -0.3250

Cell and atoms, written as extended XYZ:
```
18
Lattice="8.3152 -4.1141 0.0000 8.3152 4.1141 0.0000 0.0000 0.0000 7.9603" Properties=species:S:1:pos:R:3 pbc="T T T"
Nd 0.0000 0.0000 0.0000
Nd 6.0862 2.5352 5.4181
Nd 6.0862 1.5789 1.4379
Nd 10.5441 2.5352 5.4181
Nd 10.5441 1.5789 1.4379
Nd 8.3152 0.0000 3.9801
Nd 6.0862 -1.5789 6.5223
Nd 6.0862 -2.5352 2.5422
Nd 10.5441 -1.5789 6.5223
Nd 10.5441 -2.5352 2.5422
Al 8.3152 3.1815 3.0758
Al 8.3152 0.9326 7.0559
Al 8.3152 -0.9326 0.9044
Al 8.3152 -3.1815 4.8845
In 3.6574 0.0000 0.0000
In 4.6577 0.0000 3.9801
In 11.9726 0.0000 3.9801
In 12.9729 0.0000 0.0000
```



A plane-wave DFT calculation with PBE was carried out for a geometry-optimized NdAlIn structure.

Results
Magnetic moment (μB per atom): 0.00
Symmetry: C2/m
Fermi-level density of states (states/eV/atom): 0.63
Final energy (eV for the cell shown): -50.63
Energy of formation (eV per atom): -0.4696

Cell and atoms, written as extended XYZ:
```
12
Lattice="11.5001 0.0000 0.0000 0.0000 4.5563 0.0000 -4.7602 0.0000 5.7439" Properties=species:S:1:pos:R:3 pbc="T T T"
Nd -0.7650 0.0000 1.7851
Nd 1.7549 2.2782 3.9589
Nd 4.9851 2.2782 1.7851
Nd 7.5050 0.0000 3.9589
Al -1.5522 2.2782 3.9367
Al 2.5421 0.0000 1.8072
Al 4.1979 0.0000 3.9367
Al 8.2922 2.2782 1.8072
In 1.4951 2.2782 0.5876
In -0.5052 0.0000 5.1563
In 7.2452 0.0000 0.5876
In 5.2449 2.2782 5.1563
```



A plane-wave DFT calculation with PBE was carried out for a geometry-optimized Nd2Al2In structure.

Results
Magnetic moment (μB per atom): 0.00
Symmetry: P4/mbm
Fermi-level density of states (states/eV/atom): 0.74
Final energy (eV for the cell shown): -44.02
Energy of formation (eV per atom): -0.4501

Cell and atoms, written as extended XYZ:
```
10
Lattice="7.4020 0.0000 0.0000 0.0000 7.4020 0.0000 0.0000 0.0000 4.7324" Properties=species:S:1:pos:R:3 pbc="T T T"
Nd 1.2690 2.4320 0.0000
Nd 2.4320 6.1330 0.0000
Nd 4.9700 1.2690 0.0000
Nd 6.1330 4.9700 0.0000
Al 0.9365 4.6375 2.3662
Al 2.7645 0.9365 2.3662
Al 4.6375 6.4654 2.3662
Al 6.4654 2.7645 2.3662
In 0.0000 0.0000 2.3662
In 3.7010 3.7010 2.3662
```